{"formula": "HfTi5Sn3", "functional": "PBE", "state": "optimized geometry", "lattice": [[5.7186, 0.0000, 0.0000], [0.0000, 7.1688, -4.1390], [0.0000, 0.0001, 8.2779]], "species": ["Hf", "Hf", "Ti", "Ti", "Ti", "Ti", "Ti", "Ti", "Ti", "Ti", "Ti", "Ti", "Sn", "Sn", "Sn", "Sn", "Sn", "Sn"], "frac_coords": [[0.0000, 0.0000, 0.0000], [0.5000, 0.0000, 0.0000], [0.0000, 0.6667, 0.3333], [0.5000, 0.3333, 0.6667], [0.0000, 0.3333, 0.6667], [0.5000, 0.6667, 0.3333], [0.7500, 0.6675, 0.6675], [0.7500, 0.0000, 0.3325], [0.7500, 0.3324, 0.0000], [0.2500, 0.3325, 0.3325], [0.2500, 0.0000, 0.6675], [0.2500, 0.6676, 0.0000], [0.7500, 0.3384, 0.3384], [0.7500, 0.0000, 0.6616], [0.7500, 0.6616, 0.0000], [0.2500, 0.6616, 0.6616], [0.2500, 0.0000, 0.3384], [0.2500, 0.3384, 0.0000]], "crystal_system": "hexagonal"}

{"formula": "HfTi12Sn6", "functional": "PBE", "state": "optimized geometry", "lattice": [[-1.0765, -3.4500, -6.1686], [2.1364, -6.0214, 3.2080], [-6.7691, -1.1097, 2.0151]], "species": ["Hf", "Ti", "Ti", "Ti", "Ti", "Ti", "Ti", "Ti", "Ti", "Ti", "Ti", "Ti", "Ti", "Sn", "Sn", "Sn", "Sn", "Sn", "Sn"], "frac_coords": [[0.0000, 0.0000, 0.0000], [0.7936, 0.5307, 0.4508], [0.4508, 0.7936, 0.5307], [0.5307, 0.4508, 0.7936], [0.2064, 0.4693, 0.5492], [0.5492, 0.2064, 0.4693], [0.4693, 0.5492, 0.2064], [0.0653, 0.1475, 0.3753], [0.8525, 0.6247, 0.9347], [0.6247, 0.9347, 0.8525], [0.9347, 0.8525, 0.6247], [0.1475, 0.3753, 0.0653], [0.3753, 0.0653, 0.1475], [0.7108, 0.8749, 0.2629], [0.7371, 0.2892, 0.1251], [0.1251, 0.7371, 0.2892], [0.2892, 0.1251, 0.7371], [0.2629, 0.7108, 0.8749], [0.8749, 0.2629, 0.7108]], "crystal_system": "trigonal"}

{"formula": "Hf6Ti2Sn", "functional": "PBE", "state": "optimized geometry", "lattice": [[7.9944, 0.0408, -0.4278], [-2.9911, 7.4139, 0.4278], [-3.0350, -3.3694, 6.5978]], "species": ["Hf", "Hf", "Hf", "Hf", "Hf", "Hf", "Hf", "Hf", "Hf", "Hf", "Hf", "Hf", "Ti", "Ti", "Ti", "Ti", "Sn", "Sn"], "frac_coords": [[0.5158, 0.7104, 0.8054], [0.4842, 0.2896, 0.1946], [0.0950, 0.2896, 0.8054], [0.9050, 0.7104, 0.1946], [0.7977, 0.7514, 0.5491], [0.2023, 0.2486, 0.4509], [0.2023, 0.7514, 0.9537], [0.7977, 0.2486, 0.0463], [0.7158, 0.3927, 0.6769], [0.2842, 0.6073, 0.3231], [0.2842, 0.9611, 0.6769], [0.7158, 0.0389, 0.3231], [0.5000, 0.3697, 0.8697], [0.5000, 0.6303, 0.1303], [0.6497, 0.0000, 0.6497], [0.3503, 0.0000, 0.3503], [0.0000, 0.5000, 0.5000], [0.0000, 0.0000, 0.0000]], "crystal_system": "orthorhombic"}

{"formula": "HfTi3Sn", "functional": "PBE", "state": "optimized geometry", "lattice": [[-2.6409, -4.1994, -0.2191], [2.8934, -2.0024, 3.5037], [-3.0514, 1.7357, 3.5119]], "species": ["Hf", "Sn", "Ti", "Ti", "Ti"], "frac_coords": [[0.5000, 0.5000, 0.5000], [0.0000, 0.0000, 0.0000], [0.0000, 0.5000, 0.0000], [0.0000, 0.0000, 0.5000], [0.5000, 0.0000, 0.0000]], "crystal_system": "cubic"}

{"formula": "HfTi3Sn2", "functional": "PBE", "state": "optimized geometry", "lattice": [[-2.4611, 2.9264, -1.9901], [-2.7687, -7.7436, -3.2946], [-2.5738, 2.3806, 6.6837]], "species": ["Hf", "Hf", "Ti", "Ti", "Ti", "Ti", "Ti", "Ti", "Sn", "Sn", "Sn", "Sn"], "frac_coords": [[0.8873, 0.7746, 0.9537], [0.1127, 0.2254, 0.0463], [0.2961, 0.5921, 0.4827], [0.9276, 0.8552, 0.5420], [0.6149, 0.2297, 0.7256], [0.3851, 0.7703, 0.2744], [0.0724, 0.1448, 0.4580], [0.7039, 0.4079, 0.5173], [0.4725, 0.9450, 0.7911], [0.5275, 0.0550, 0.2089], [0.7526, 0.5051, 0.1859], [0.2474, 0.4949, 0.8141]], "crystal_system": "monoclinic"}

{"formula": "Hf2TiSn4", "functional": "PBE", "state": "optimized geometry", "lattice": [[-0.1348, -1.2399, -2.9581], [-0.7072, -5.2173, 2.2190], [-8.6280, 4.4656, 0.2633]], "species": ["Hf", "Hf", "Ti", "Sn", "Sn", "Sn", "Sn"], "frac_coords": [[0.7502, 0.7628, 0.5005], [0.2498, 0.2372, 0.4995], [0.0000, 0.0000, 0.0000], [0.8885, 0.2293, 0.7770], [0.1115, 0.7707, 0.2230], [0.6172, 0.2981, 0.2345], [0.3828, 0.7019, 0.7655]], "crystal_system": "monoclinic"}

{"formula": "Hf3Ti3Sn2", "functional": "PBE", "state": "optimized geometry", "lattice": [[5.3277, 0.0000, 0.0000], [2.6638, 4.6139, 0.0000], [2.6638, 1.5380, 6.7621]], "species": ["Hf", "Hf", "Hf", "Ti", "Ti", "Ti", "Sn", "Sn"], "frac_coords": [[0.5000, 0.5000, 0.5000], [0.9260, 0.9260, 0.2219], [0.0740, 0.0740, 0.7781], [0.5000, 0.0000, 0.0000], [0.5000, 0.5000, 0.0000], [0.0000, 0.5000, 0.0000], [0.2160, 0.2160, 0.3520], [0.7840, 0.7840, 0.6480]], "crystal_system": "trigonal"}

{"formula": "Hf3Ti3Sn", "functional": "PBE", "state": "optimized geometry", "lattice": [[4.7679, 0.0000, 0.0000], [0.0000, 8.2390, -0.0010], [0.0000, -4.1204, 7.1345]], "species": ["Hf", "Hf", "Hf", "Hf", "Hf", "Hf", "Ti", "Ti", "Ti", "Ti", "Ti", "Ti", "Sn", "Sn"], "frac_coords": [[0.7500, 0.1738, 0.2581], [0.7500, 0.0844, 0.8261], [0.2500, 0.2582, 0.0844], [0.7500, 0.7418, 0.9156], [0.2500, 0.9156, 0.1739], [0.2500, 0.8262, 0.7419], [0.7500, 0.5064, 0.0962], [0.7500, 0.5898, 0.4936], [0.2500, 0.0963, 0.5899], [0.7500, 0.9037, 0.4101], [0.2500, 0.4102, 0.5064], [0.2500, 0.4936, 0.9038], [0.2500, 0.6667, 0.3334], [0.7500, 0.3333, 0.6666]], "crystal_system": "hexagonal"}

Number 1: energy relative to the elements -327.1 meV/atom. Number 2: energy relative to the elements -140.7 meV/atom. Number 3: energy relative to the elements 78.8 meV/atom. Number 4: energy relative to the elements 1008.2 meV/atom. Number 5: energy relative to the elements -180.2 meV/atom. Number 6: energy relative to the elements -109.0 meV/atom. Number 7: energy relative to the elements -70.2 meV/atom. Number 8: energy relative to the elements -108.5 meV/atom.